The following is a PBE-GGA calculation of a relaxed structure of Ba2TlBr2, from the Alexandria database.

Cell and atoms, written as POSCAR:
```
Ba2TlBr2
1.0
9.593 0.000 0.000
0.000 9.593 0.000
0.000 0.000 3.987
Tl Ba Br
2 4 4
direct
0.000 0.000 0.000
0.500 0.500 0.000
0.179 0.679 0.500
0.679 0.821 0.500
0.821 0.321 0.500
0.321 0.179 0.500
0.376 0.876 0.000
0.876 0.624 0.000
0.624 0.124 0.000
0.124 0.376 0.000
```

Summary:
Distance to the lowest polymorph of the same formula in meV per atom: 51
Raw formation energy in meV per atom: -1186.6
Total energy in eV/cell: -30.98

The following is a PBE-GGA calculation of a relaxed structure of BaTl2Br, from the Alexandria database.

Cell and atoms, written as POSCAR:
```
BaTl2Br
1.0
6.649 -0.039 0.000
-3.546 5.624 0.000
0.000 0.000 4.172
Tl Ba Br
2 1 1
direct
0.000 0.000 0.000
0.500 0.500 0.000
0.500 0.000 0.500
0.000 0.500 0.500
```

Summary:
Distance to the lowest polymorph of the same formula in meV per atom: 188
Raw formation energy in meV per atom: -555.6
Total energy in eV/cell: -10.55

The following is a PBE-GGA calculation of a relaxed structure of Ba4TlBr, from the Alexandria database.

Cell and atoms, written as POSCAR:
```
Ba4TlBr
1.0
0.000 5.303 5.303
5.303 0.000 5.303
5.303 5.303 0.000
Ba Tl Br
4 1 1
direct
0.375 0.876 0.375
0.876 0.375 0.375
0.375 0.375 0.876
0.375 0.375 0.375
0.000 0.000 0.000
0.750 0.750 0.750
```

Summary:
Raw formation energy in meV per atom: 20.1
Total energy in eV/cell: -11.61

The following is a PBE-GGA calculation of a relaxed structure of Ba2Tl2Br, from the Alexandria database.

Cell and atoms, written as POSCAR:
```
Ba2Tl2Br
1.0
-2.192 -8.552 1.351
5.884 -2.494 -6.240
3.897 -0.393 3.832
Tl Ba Br
4 4 2
direct
0.121 0.621 0.500
0.621 0.879 0.500
0.879 0.379 0.500
0.379 0.121 0.500
0.324 0.824 0.000
0.824 0.676 0.000
0.676 0.176 0.000
0.176 0.324 0.000
0.000 0.000 0.000
0.500 0.500 0.000
```

Summary:
Distance to the lowest polymorph of the same formula in meV per atom: 0
Raw formation energy in meV per atom: -711.4
Total energy in eV/cell: -27.62

The following is a PBE-GGA calculation of a relaxed structure of BaTl2Br4, from the Alexandria database.

Cell and atoms, written as POSCAR:
```
BaTl2Br4
1.0
6.371 0.000 0.000
0.000 6.371 0.000
3.185 3.185 8.182
Tl Ba Br
2 1 4
direct
0.372 0.372 0.257
0.628 0.628 0.743
0.000 0.000 0.000
0.193 0.193 0.615
0.807 0.807 0.385
0.000 0.500 0.000
0.500 0.000 0.000
```

Summary:
Distance to the lowest polymorph of the same formula in meV per atom: 91
Raw formation energy in meV per atom: -1314.7
Total energy in eV/cell: -22.55

The following is a PBE-GGA calculation of a relaxed structure of BaTl2Br, from the Alexandria database.

Cell and atoms, written as POSCAR:
```
BaTl2Br
1.0
-2.058 2.360 3.276
-3.713 -2.550 -0.495
2.616 -4.797 5.100
Tl Ba Br
2 1 1
direct
0.000 0.000 0.075
0.500 0.500 0.196
0.000 0.000 0.566
0.500 0.500 0.662
```

Summary:
Distance to the lowest polymorph of the same formula in meV per atom: 0
Raw formation energy in meV per atom: -743.9
Total energy in eV/cell: -11.30

The following is a PBE-GGA calculation of a relaxed structure of BaTl2Br, from the Alexandria database.

Cell and atoms, written as POSCAR:
```
BaTl2Br
1.0
-0.160 3.852 -1.573
0.646 -2.298 -5.695
-6.217 -0.469 -0.516
Tl Ba Br
2 1 1
direct
0.000 0.000 0.006
0.000 0.000 0.494
0.500 0.500 0.250
0.500 0.500 0.750
```

Summary:
Distance to the lowest polymorph of the same formula in meV per atom: 184
Raw formation energy in meV per atom: -560.2
Total energy in eV/cell: -10.57

The following is a PBE-GGA calculation of a relaxed structure of Ba4TlBr3, from the Alexandria database.

Cell and atoms, written as POSCAR:
```
Ba4TlBr3
1.0
-1.539 2.782 -3.533
-2.184 -6.958 -4.528
-6.697 2.398 4.805
Tl Ba Br
1 4 3
direct
0.500 0.000 0.000
0.000 0.246 0.246
0.500 0.757 0.243
0.000 0.754 0.754
0.500 0.243 0.757
0.000 0.000 0.500
0.500 0.500 0.500
0.000 0.500 0.000
```

Summary:
Raw formation energy in meV per atom: -1305.8
Total energy in eV/cell: -25.52

The following is a PBE-GGA calculation of a relaxed structure of Ba2TlBr2, from the Alexandria database.

Cell and atoms, written as POSCAR:
```
Ba2TlBr2
1.0
5.105 0.000 0.000
0.000 5.105 0.000
2.553 2.553 8.347
Tl Ba Br
1 2 2
direct
0.000 0.000 0.000
0.372 0.372 0.256
0.628 0.628 0.744
0.750 0.250 0.500
0.250 0.750 0.500
```

Summary:
Distance to the lowest polymorph of the same formula in meV per atom: 0
Raw formation energy in meV per atom: -1237.8
Total energy in eV/cell: -15.75

The following is a PBE-GGA calculation of a relaxed structure of BaTlBr3, from the Alexandria database.

Cell and atoms, written as POSCAR:
```
BaTlBr3
1.0
-2.741 2.742 2.593
-3.382 -7.550 4.403
9.357 1.976 3.620
Ba Tl Br
2 2 6
direct
0.748 0.689 0.777
0.459 0.180 0.198
0.513 0.706 0.304
0.191 0.161 0.663
0.980 0.435 0.239
0.014 0.991 0.309
0.337 0.603 0.956
0.829 0.055 0.936
0.158 0.783 0.596
0.639 0.339 0.558
```

Summary:
Raw formation energy in meV per atom: -1624.9
Total energy in eV/cell: -34.86

The following is a PBE-GGA calculation of a relaxed structure of BaTl2Br, from the Alexandria database.

Cell and atoms, written as POSCAR:
```
BaTl2Br
1.0
10.062 0.088 0.053
9.039 4.421 0.053
9.039 2.134 3.873
Tl Ba Br
2 1 1
direct
0.990 0.990 0.990
0.253 0.253 0.253
0.496 0.496 0.496
0.762 0.762 0.762
```

Summary:
Distance to the lowest polymorph of the same formula in meV per atom: 88
Raw formation energy in meV per atom: -655.8
Total energy in eV/cell: -10.95

The following is a PBE-GGA calculation of a relaxed structure of Ba5Tl3Br12, from the Alexandria database.

Cell and atoms, written as POSCAR:
```
Ba5Tl3Br12
1.0
17.029 0.000 0.000
-5.676 16.055 0.000
-5.676 -8.027 13.904
Tl Ba Br
12 20 48
direct
0.750 0.375 0.125
0.875 0.750 0.125
0.375 0.750 0.625
0.250 0.125 0.375
0.875 0.125 0.250
0.375 0.625 0.250
0.625 0.375 0.750
0.125 0.875 0.750
0.750 0.875 0.625
0.625 0.250 0.375
0.125 0.250 0.875
0.250 0.625 0.875
0.125 0.375 0.250
0.000 0.500 0.000
0.000 0.000 0.000
0.375 0.250 0.125
0.500 0.000 0.500
0.500 0.500 0.000
0.125 0.750 0.375
0.750 0.125 0.875
0.750 0.625 0.375
0.375 0.125 0.750
0.625 0.875 0.250
0.500 0.500 0.500
0.500 0.000 0.000
0.000 0.000 0.500
0.250 0.375 0.625
0.250 0.875 0.125
0.000 0.500 0.500
0.875 0.250 0.625
0.625 0.750 0.875
0.875 0.625 0.750
0.717 0.119 0.042
0.325 0.542 0.423
0.958 0.381 0.283
0.542 0.217 0.119
0.598 0.717 0.675
0.958 0.577 0.175
0.325 0.783 0.402
0.077 0.902 0.119
0.577 0.958 0.675
0.717 0.598 0.175
0.783 0.458 0.381
0.825 0.923 0.042
0.119 0.717 0.542
0.381 0.423 0.098
0.098 0.923 0.381
0.402 0.119 0.577
0.098 0.175 0.217
0.458 0.675 0.077
0.825 0.902 0.283
0.119 0.402 0.077
0.381 0.958 0.783
0.577 0.619 0.402
0.923 0.825 0.542
0.783 0.325 0.902
0.423 0.381 0.598
0.077 0.175 0.458
0.217 0.675 0.098
0.175 0.098 0.717
0.619 0.042 0.217
0.881 0.598 0.923
0.542 0.325 0.923
0.598 0.881 0.423
0.902 0.825 0.783
0.902 0.077 0.619
0.881 0.283 0.458
0.175 0.077 0.958
0.619 0.577 0.902
0.423 0.042 0.325
0.283 0.402 0.825
0.217 0.542 0.619
0.923 0.098 0.881
0.675 0.217 0.598
0.458 0.783 0.881
0.042 0.423 0.825
0.402 0.283 0.325
0.042 0.619 0.717
0.675 0.458 0.577
0.283 0.881 0.958
```

Summary:
Raw formation energy in meV per atom: -1623.3
Total energy in eV/cell: -277.01

The following is a PBE-GGA calculation of a relaxed structure of BaTl6Br8, from the Alexandria database.

Cell and atoms, written as POSCAR:
```
BaTl6Br8
1.0
5.021 0.000 0.000
0.000 9.885 -5.707
0.000 0.000 11.415
Ba Tl Br
1 6 8
direct
0.500 0.000 0.000
0.745 0.656 0.117
0.745 0.883 0.539
0.745 0.461 0.344
0.255 0.344 0.883
0.255 0.117 0.461
0.255 0.539 0.656
0.752 0.968 0.250
0.752 0.750 0.718
0.752 0.282 0.032
0.248 0.032 0.750
0.248 0.250 0.282
0.248 0.718 0.968
0.748 0.333 0.667
0.252 0.667 0.333
```

Summary:
Raw formation energy in meV per atom: -1065.1
Total energy in eV/cell: -45.48

The following is a PBE-GGA calculation of a relaxed structure of BaTl2Br, from the Alexandria database.

Cell and atoms, written as POSCAR:
```
BaTl2Br
1.0
-0.997 4.101 -6.291
0.534 0.289 -7.551
-4.543 -1.564 -0.790
Tl Ba Br
2 1 1
direct
0.022 0.022 0.987
0.478 0.478 0.513
0.750 0.750 0.750
0.250 0.250 0.250
```

Summary:
Distance to the lowest polymorph of the same formula in meV per atom: 18
Raw formation energy in meV per atom: -725.6
Total energy in eV/cell: -11.23

The following is a PBE-GGA calculation of a relaxed structure of BaTlBr, from the Alexandria database.

Cell and atoms, written as POSCAR:
```
BaTlBr
1.0
5.738 0.000 0.000
2.869 4.969 0.000
2.869 1.656 4.685
Tl Ba Br
1 1 1
direct
0.500 0.500 0.500
0.750 0.750 0.750
0.000 0.000 0.000
```

Summary:
Distance to the lowest polymorph of the same formula in meV per atom: 587
Raw formation energy in meV per atom: -599.4
Total energy in eV/cell: -7.76

The following is a PBE-GGA calculation of a relaxed structure of Ba3TlBr2, from the Alexandria database.

Cell and atoms, written as POSCAR:
```
Ba3TlBr2
1.0
4.658 0.000 0.000
-2.329 9.449 -2.849
0.000 -0.653 11.984
Ba Tl Br
6 2 4
direct
0.967 0.933 0.197
0.033 0.067 0.803
0.686 0.371 0.142
0.314 0.629 0.858
0.366 0.733 0.475
0.634 0.267 0.525
0.500 0.000 0.000
0.000 0.000 0.500
0.184 0.368 0.346
0.816 0.632 0.654
0.311 0.623 0.145
0.689 0.377 0.855
```

Summary:
Raw formation energy in meV per atom: -1187.2
Total energy in eV/cell: -37.21

The following is a PBE-GGA calculation of a relaxed structure of Ba5TlBr5, from the Alexandria database.

Cell and atoms, written as POSCAR:
```
Ba5TlBr5
1.0
6.793 0.000 0.000
-3.396 7.417 -2.551
0.000 0.092 9.843
Ba Tl Br
5 1 5
direct
0.845 0.689 0.168
0.843 0.687 0.677
0.500 0.000 0.000
0.157 0.313 0.323
0.155 0.311 0.832
0.000 0.000 0.000
0.685 0.370 0.340
0.679 0.359 0.844
0.000 0.000 0.500
0.321 0.641 0.156
0.315 0.630 0.660
```

Summary:
Raw formation energy in meV per atom: -1551.7
Total energy in eV/cell: -37.41

The following is a PBE-GGA calculation of a relaxed structure of BaTlBr3, from the Alexandria database.

Cell and atoms, written as POSCAR:
```
BaTlBr3
1.0
6.012 0.000 0.000
0.000 6.012 0.000
0.000 0.000 6.012
Ba Tl Br
1 1 3
direct
0.500 0.500 0.500
0.000 0.000 0.000
0.000 0.500 0.000
0.000 0.000 0.500
0.500 0.000 0.000
```

Summary:
Raw formation energy in meV per atom: -1164.0
Total energy in eV/cell: -15.13

Number 1: calculated volume 36.7 Å³/atom. Number 2: calculated volume 38.9 Å³/atom. Number 3: calculated volume 49.7 Å³/atom. Number 4: calculated volume 43.7 Å³/atom. Number 5: calculated volume 47.4 Å³/atom. Number 6: calculated volume 38.4 Å³/atom. Number 7: calculated volume 40.2 Å³/atom. Number 8: calculated volume 41.4 Å³/atom. Number 9: calculated volume 43.5 Å³/atom. Number 10: calculated volume 41.1 Å³/atom. Number 11: calculated volume 41.8 Å³/atom. Number 12: calculated volume 47.5 Å³/atom. Number 13: calculated volume 37.8 Å³/atom. Number 14: calculated volume 37.9 Å³/atom. Number 15: calculated volume 44.5 Å³/atom. Number 16: calculated volume 43.2 Å³/atom. Number 17: calculated volume 45.2 Å³/atom. Number 18: calculated volume 43.5 Å³/atom.